An optimized crystal structure of Zr3TiN, computed with GGA-PBEsol.

Results
* E_form (uncorrected): -75.3 kJ per mole of atoms
* V: 88.2 Å³ per cell

The structure in POSCAR format:
```
Zr3TiN
1.0
4.4511 0.0000 0.0000
0.0000 4.4511 0.0000
0.0000 0.0000 4.4511
Zr Ti N
3 1 1
Cartesian
0.0000 0.0000 2.2255
0.0000 2.2255 0.0000
2.2255 0.0000 0.0000
2.2255 2.2255 2.2255
0.0000 0.0000 0.0000
```